No. 1
This record from Alexandria describes a relaxed K2MnAlV crystal. The functional is PBE.

Properties
Calculated density (g cm⁻³): 1.75
Final energy (eV/f.u.): -17.51

Lattice parameters (Å, degrees): 6.278 6.278 5.075 90.00 90.00 90.00
Space group P4/mmm (No. 123)
Asymmetric unit:
K 0.000 0.500 0.000 [2 per cell]
Mn 0.000 0.000 0.500 [1 per cell]
Al 0.500 0.500 0.500 [1 per cell]
V 0.500 0.500 0.000 [1 per cell]

---

No. 2
This record from Alexandria describes a relaxed SrH6Pd3 crystal. The functional is PBE.

Properties
Calculated density (g cm⁻³): 6.74
Final energy (eV/f.u.): -38.86

Lattice parameters (Å, degrees): 6.992 3.101 9.639 90.00 103.35 90.00
Space group P2_1/m (No. 11)
Asymmetric unit:
Sr 0.007 0.250 0.201 [2 per cell]
H 0.077 0.750 0.424 [2 per cell]
H 0.199 0.250 0.006 [2 per cell]
H 0.266 0.750 0.660 [2 per cell]
H 0.329 0.750 0.253 [2 per cell]
H 0.425 0.250 0.546 [2 per cell]
H 0.472 0.750 0.910 [2 per cell]
Pd 0.171 0.250 0.562 [2 per cell]
Pd 0.358 0.750 0.062 [2 per cell]
Pd 0.465 0.250 0.351 [2 per cell]

---

No. 3
This record from Alexandria describes a relaxed CaTm4Cd5 crystal. The functional is PBE.

Properties
Calculated density (g cm⁻³): 8.23
Final energy (eV/f.u.): -27.70

Lattice parameters (Å, degrees): 3.709 3.709 18.734 90.00 90.00 90.00
Space group P4/mmm (No. 123)
Asymmetric unit:
Ca 0.000 0.000 0.000 [1 per cell]
Tm 0.000 0.000 0.205 [2 per cell]
Tm 0.000 0.000 0.402 [2 per cell]
Cd 0.500 0.500 0.109 [2 per cell]
Cd 0.500 0.500 0.303 [2 per cell]
Cd 0.500 0.500 0.500 [1 per cell]

---

No. 4
This record from Alexandria describes a relaxed SmDy3Th crystal. The functional is PBE.

Properties
Calculated density (g cm⁻³): 8.75
Final energy (eV/f.u.): -25.03

Lattice parameters (Å, degrees): 5.320 11.275 11.003 90.00 90.04 90.00
Space group C2/m (No. 12)
Asymmetric unit:
Sm 0.000 0.153 0.000 [4 per cell]
Dy 0.000 0.152 0.305 [8 per cell]
Dy 0.000 0.500 0.173 [4 per cell]
Th 0.000 0.365 0.500 [4 per cell]

---

No. 5
This record from Alexandria describes a relaxed SrAc2N2 crystal. The functional is PBE.

Properties
Calculated density (g cm⁻³): 7.33
Formation energy from raw total energies (eV per atom): -0.79
Final energy (eV/f.u.): -30.48

Lattice parameters (Å, degrees): 3.940 3.940 16.625 90.00 90.00 90.00
Space group I4/mmm (No. 139)
Asymmetric unit:
Sr 0.000 0.000 0.000 [2 per cell]
Ac 0.000 0.000 0.328 [4 per cell]
N 0.000 0.000 0.178 [4 per cell]

---

No. 6
This record from Alexandria describes a relaxed Re2SbSe crystal. The functional is PBE.

Properties
Calculated density (g cm⁻³): 9.97
Formation energy from raw total energies (eV per atom): 1.10
Final energy (eV/f.u.): -28.09

Lattice parameters (Å, degrees): 5.924 5.924 10.879 90.00 90.00 90.00
Space group I-42d (No. 122)
Asymmetric unit:
Re 0.218 0.250 0.125 [8 per cell]
Sb 0.000 0.000 0.500 [4 per cell]
Se 0.000 0.000 0.000 [4 per cell]

---

No. 7
This record from Alexandria describes a relaxed AcNd6Zn2 crystal. The functional is PBE.

Properties
Calculated density (g cm⁻³): 7.10
Final energy (eV/f.u.): -36.39

Lattice parameters (Å, degrees): 12.970 3.808 12.259 90.00 108.99 90.00
Space group C2/m (No. 12)
Asymmetric unit:
Ac 0.000 0.000 0.000 [2 per cell]
Nd 0.025 0.000 0.330 [4 per cell]
Nd 0.186 0.500 0.587 [4 per cell]
Nd 0.191 0.500 0.872 [4 per cell]
Zn 0.157 0.500 0.217 [4 per cell]

---

No. 8
This record from Alexandria describes a relaxed PmPr2Dy5Tm crystal. The functional is PBE.

Properties
Calculated density (g cm⁻³): 7.87
Final energy (eV/f.u.): -39.36

Lattice parameters (Å, degrees): 8.698 8.698 15.706 90.00 90.00 90.00
Space group I4/mcm (No. 140)
Asymmetric unit:
Pm 0.000 0.000 0.250 [4 per cell]
Pr 0.118 0.382 0.000 [8 per cell]
Dy 0.000 0.000 0.000 [4 per cell]
Dy 0.212 0.288 0.360 [16 per cell]
Tm 0.000 0.500 0.250 [4 per cell]